Below is crystalline NbTcMo2H at its relaxed geometry, with properties calculated at the PBE-GGA level.

a b c (Å): 4.4147 4.4147 3.4567
angles (deg): 90.00 90.00 90.00
Last column: nearest neighbours and their distance in Å.
Sites, in units of the cell vectors:
Nb 0.0000 0.0000 0.0000  8 Mo 2.80, 4 Tc 3.12
Tc 0.5000 0.5000 0.0000  2 H 1.73
Mo 0.0000 0.5000 0.5000  2 H 2.21
Mo 0.5000 0.0000 0.5000  2 H 2.21
H 0.5000 0.5000 0.5000  2 Tc 1.73

The polymorph energy (0 for the lowest one) is 0 meV per atom. The calculation puts the total DFT energy (no corrections) at -8.98 eV per atom.